(1)
Computed, not measured: a PBEsol-optimized structure of ZrSc2Zn2 at the meta-GGA SCAN level of DFT.

Cell lengths 3.2648, 7.6574, 7.6574 Å; angles 90.00, 90.00, 90.00 degrees
Atoms (fractional coordinates):
Zr 0.0000 0.0000 0.0000
Sc 0.5000 0.8260 0.3260
Sc 0.5000 0.1740 0.6740
Zn 0.0000 0.3767 0.8767
Sc 0.5000 0.6740 0.8260
Zn 0.0000 0.6233 0.1233
Zn 0.0000 0.8767 0.6233
Zn 0.0000 0.1233 0.3767
Zr 0.0000 0.5000 0.5000
Sc 0.5000 0.3260 0.1740

As for the space-group type: P4/mbm (127). The calculation puts the density of states at the Fermi level at 1.162 states/eV/atom. The total energy comes out at -87.587 eV per formula unit. As for the calculated volume: 191.43 Å³ per cell. As for the energy of formation: -0.277 eV/atom.

---

(2)
Computed, not measured: a PBEsol-optimized structure of ZrSc2Zn at the meta-GGA SCAN level of DFT.

Cell lengths 3.3341, 4.7516, 5.9116 Å; angles 113.70, 106.38, 90.00 degrees
Atoms (fractional coordinates):
Zn 0.4983 0.4983 0.9965
Sc 0.7843 0.2843 0.5687
Sc 0.9996 0.9996 0.9992
Zr 0.2178 0.7178 0.4356

As for the space-group type: Imm2 (44). The calculation puts the density of states at the Fermi level at 0.954 states/eV/atom. The total energy comes out at -73.420 eV per formula unit. As for the calculated volume: 81.59 Å³ per cell. As for the energy of formation: -0.183 eV/atom.

---

(3)
Computed, not measured: a PBEsol-optimized structure of ZrScZn2 at the meta-GGA SCAN level of DFT.

Cell lengths 3.2472, 3.2472, 6.7544 Å; angles 90.00, 90.00, 90.00 degrees
Atoms (fractional coordinates):
Zr 0.5000 0.5000 0.5000
Zn 0.0000 0.0000 0.7566
Zn 0.0000 0.0000 0.2434
Sc 0.5000 0.5000 0.0000

As for the space-group type: P4/mmm (123). The calculation puts the density of states at the Fermi level at 0.947 states/eV/atom. The total energy comes out at -73.632 eV per formula unit. As for the calculated volume: 71.22 Å³ per cell. As for the energy of formation: -0.416 eV/atom.

---

(4)
Computed, not measured: a PBEsol-optimized structure of ZrScZn4 at the meta-GGA SCAN level of DFT.

Cell lengths 5.1527, 5.1527, 5.1527 Å; angles 60.00, 60.00, 60.00 degrees
Atoms (fractional coordinates):
Sc 0.0000 0.0000 0.0000
Zr 0.7500 0.7500 0.7500
Zn 0.3753 0.3753 0.3753
Zn 0.3753 0.3753 0.8741
Zn 0.3753 0.8741 0.3753
Zn 0.8741 0.3753 0.3753

As for the space-group type: F-43m (216). The calculation puts the density of states at the Fermi level at 0.785 states/eV/atom. The total energy comes out at -101.409 eV per formula unit. As for the calculated volume: 96.74 Å³ per cell. As for the energy of formation: -0.402 eV/atom.

---

(5)
Computed, not measured: a PBEsol-optimized structure of ZrSc2Zn at the meta-GGA SCAN level of DFT.

Cell lengths 3.1863, 3.1863, 7.9731 Å; angles 90.00, 90.00, 90.00 degrees
Atoms (fractional coordinates):
Sc 0.0000 0.0000 0.2235
Zr 0.5000 0.5000 0.5000
Sc 0.0000 0.0000 0.7765
Zn 0.5000 0.5000 0.0000

As for the space-group type: P4/mmm (123). The calculation puts the density of states at the Fermi level at 0.944 states/eV/atom. The total energy comes out at -73.594 eV per formula unit. As for the calculated volume: 80.95 Å³ per cell. As for the energy of formation: -0.227 eV/atom.

---

(6)
Computed, not measured: a PBEsol-optimized structure of ZrSc2Zn at the meta-GGA SCAN level of DFT.

Cell lengths 3.1936, 3.1936, 8.0744 Å; angles 90.00, 90.00, 90.00 degrees
Atoms (fractional coordinates):
Zn 0.0000 0.0000 0.4991
Sc 0.5000 0.5000 0.2862
Sc 0.0000 0.0000 0.9898
Zr 0.5000 0.5000 0.7249

As for the space-group type: P4mm (99). The calculation puts the density of states at the Fermi level at 1.196 states/eV/atom. The total energy comes out at -73.373 eV per formula unit. As for the calculated volume: 82.35 Å³ per cell. As for the energy of formation: -0.171 eV/atom.

---

(7)
Computed, not measured: a PBEsol-optimized structure of ZrScZn at the meta-GGA SCAN level of DFT.

Cell lengths 4.5813, 4.5813, 4.5813 Å; angles 60.00, 60.00, 60.00 degrees
Atoms (fractional coordinates):
Zn 0.5000 0.5000 0.5000
Zr 0.2500 0.2500 0.2500
Sc 0.0000 0.0000 0.0000

As for the space-group type: F-43m (216). The calculation puts the density of states at the Fermi level at 1.105 states/eV/atom. The total energy comes out at -56.255 eV per formula unit. The value obtained for the distance to the lowest polymorph of the same formula is 992.3 meV per atom. As for the calculated volume: 67.99 Å³ per cell. As for the energy of formation: 0.732 eV/atom.

---

(8)
Computed, not measured: a PBEsol-optimized structure of ZrSc2 at the meta-GGA SCAN level of DFT.

Cell lengths 4.4675, 4.5045, 7.1326 Å; angles 71.57, 90.00, 90.00 degrees
Atoms (fractional coordinates):
Sc 0.2500 0.7499 0.5002
Sc 0.2500 0.4191 0.1617
Zr 0.2500 0.0795 0.8409
Sc 0.7500 0.2501 0.4998
Zr 0.7500 0.9204 0.1591
Sc 0.7500 0.5809 0.8383

As for the space-group type: Cmcm (63). The calculation puts the density of states at the Fermi level at 1.242 states/eV/atom. The total energy comes out at -59.017 eV per formula unit. As for the calculated volume: 136.18 Å³ per cell. As for the energy of formation: 0.052 eV/atom.

---

(9)
Computed, not measured: a PBEsol-optimized structure of ZrSc3 at the meta-GGA SCAN level of DFT.

Cell lengths 4.4951, 4.4951, 4.4951 Å; angles 90.00, 90.00, 90.00 degrees
Atoms (fractional coordinates):
Sc 0.0000 0.5000 0.0000
Sc 0.5000 0.0000 0.0000
Zr 0.5000 0.5000 0.5000
Sc 0.0000 0.0000 0.5000

As for the space-group type: Pm-3m (221). The calculation puts the density of states at the Fermi level at 1.428 states/eV/atom. The total energy comes out at -73.137 eV per formula unit. The value obtained for the distance to the lowest polymorph of the same formula is 68.0 meV per atom. As for the calculated volume: 90.83 Å³ per cell. As for the energy of formation: 0.068 eV/atom.

---

(10)
Computed, not measured: a PBEsol-optimized structure of Zr3Sc at the meta-GGA SCAN level of DFT.

Cell lengths 3.1917, 5.0685, 5.5557 Å; angles 90.00, 90.00, 90.00 degrees
Atoms (fractional coordinates):
Zr 0.5000 0.5000 0.8298
Zr 0.5000 0.0000 0.5000
Sc 0.0000 0.0000 0.0039
Zr 0.0000 0.5000 0.3328

As for the space-group type: Pmm2 (25). The calculation puts the density of states at the Fermi level at 0.904 states/eV/atom. The total energy comes out at -106.337 eV per formula unit. The value obtained for the distance to the lowest polymorph of the same formula is 0.0 meV per atom. As for the calculated volume: 89.88 Å³ per cell. As for the energy of formation: -0.001 eV/atom.

---

(11)
Computed, not measured: a PBEsol-optimized structure of ZrSc3 at the meta-GGA SCAN level of DFT.

Cell lengths 4.5066, 4.5066, 9.4893 Å; angles 103.74, 103.74, 90.00 degrees
Atoms (fractional coordinates):
Sc 0.1252 0.1252 0.2505
Zr 0.3753 0.3753 0.7506
Sc 0.7500 0.2500 0.5000
Sc 0.8748 0.8748 0.7495
Sc 0.0000 0.5000 0.0000
Sc 0.2500 0.7500 0.5000
Sc 0.5000 0.0000 0.0000
Zr 0.6247 0.6247 0.2494

As for the space-group type: I4/mmm (139). The calculation puts the density of states at the Fermi level at 1.476 states/eV/atom. The total energy comes out at -73.153 eV per formula unit. The value obtained for the distance to the lowest polymorph of the same formula is 64.0 meV per atom. As for the calculated volume: 181.53 Å³ per cell. As for the energy of formation: 0.064 eV/atom.

---

(12)
Computed, not measured: a PBEsol-optimized structure of ZrSc3 at the meta-GGA SCAN level of DFT.

Cell lengths 3.1631, 5.5281, 5.5281 Å; angles 109.70, 90.00, 90.00 degrees
Atoms (fractional coordinates):
Sc 0.5000 0.5000 0.0000
Zr 0.0000 0.5000 0.5000
Sc 0.0000 0.0000 0.0000
Sc 0.5000 0.0000 0.5000

As for the space-group type: Cmmm (65). The calculation puts the density of states at the Fermi level at 1.520 states/eV/atom. The total energy comes out at -73.114 eV per formula unit. The value obtained for the distance to the lowest polymorph of the same formula is 73.6 meV per atom. As for the calculated volume: 91.01 Å³ per cell. As for the energy of formation: 0.074 eV/atom.

---

> Among the records above, which one has the highest calculated volume?

ZrSc2Zn2